Computed, not measured: a geometry-optimized SrHO3 structure at the PBE level of DFT.

abc: 4.420 4.420 4.420
angles: 60.95 60.95 60.95
Element x y z (fractional)
Sr1 0.991 0.991 0.991
H1 0.520 0.520 0.520
O1 0.364 0.873 0.364
O2 0.364 0.364 0.873
O3 0.873 0.364 0.364

## Properties
The space-group type is R3m (160). The raw total energy is -24.11 eV per formula unit.